Record 1
First-principles (PBE-GGA) data for a relaxed IrAu2S crystal, as listed in Alexandria.

Cell: 7.3320 7.3320 5.8025 Å, 50.82 50.82 90.00°
Fractional positions:
Au 0.8750 0.8573 0.7500
Au 0.6073 0.1250 0.2500
Au 0.1427 0.6250 0.2500
Ir 0.7500 0.2500 0.5000
Ir 0.0000 0.0000 0.0000
S 0.5000 0.5000 0.0000
Au 0.3750 0.3927 0.7500
S 0.2500 0.7500 0.5000

Output
The symmetry is I-42d (122).



Record 2
First-principles (PBE-GGA) data for a relaxed IrAuS2 crystal, as listed in Alexandria.

Cell: 11.1475 11.1475 4.2105 Å, 90.00 90.00 164.31°
Fractional positions:
Ir 0.6871 0.3129 0.7500
S 0.1049 0.8951 0.7500
S 0.7934 0.2066 0.7500
Au 0.9578 0.0422 0.7500
S 0.2066 0.7934 0.2500
Au 0.0422 0.9578 0.2500
Ir 0.3129 0.6871 0.2500
S 0.8951 0.1049 0.2500

Output
The symmetry is Cmcm (63).



Record 3
First-principles (PBE-GGA) data for a relaxed IrAuS2 crystal, as listed in Alexandria.

Cell: 3.5472 6.0352 7.2696 Å, 96.68 89.93 72.92°
Fractional positions:
S 0.7352 0.7386 0.1188
S 0.6115 0.9841 0.5168
Au 0.6972 0.8118 0.8042
Au 0.4014 0.4092 0.6943
Ir 0.9414 0.3273 0.1874
S 0.3635 0.4824 0.3797
S 0.4872 0.2369 0.9817
Ir 0.1573 0.8937 0.3111

Output
The symmetry is P-1 (2).



Record 4
First-principles (PBE-GGA) data for a relaxed IrAuS2 crystal, as listed in Alexandria.

Cell: 5.5799 3.7506 13.5323 Å, 90.00 90.00 90.00°
Fractional positions:
Ir 0.5325 0.2500 0.8858
S 0.8010 0.2500 0.4666
Au 0.8145 0.2500 0.1521
S 0.5844 0.7500 0.2977
Au 0.3145 0.2500 0.3479
S 0.1990 0.7500 0.5334
S 0.0844 0.7500 0.2023
S 0.3010 0.2500 0.0334
S 0.9156 0.2500 0.7977
S 0.4156 0.2500 0.7023
Au 0.6855 0.7500 0.6521
S 0.6990 0.7500 0.9666
Au 0.1855 0.7500 0.8479
Ir 0.4675 0.7500 0.1142
Ir 0.9675 0.7500 0.3858
Ir 0.0325 0.2500 0.6142

Output
The symmetry is Pnma (62).



Number 1: size of the total moment 0.00 μB per formula unit, formation energy from raw total energies 0.61 eV per atom, density of states at the Fermi level 1.3446 states/eV per atom. Number 2: size of the total moment 0.00 μB per formula unit, formation energy from raw total energies 0.16 eV per atom, density of states at the Fermi level 0.3940 states/eV per atom. Number 3: size of the total moment 0.00 μB per formula unit, formation energy from raw total energies -0.13 eV per atom, density of states at the Fermi level 0.3548 states/eV per atom. Number 4: size of the total moment 0.00 μB per formula unit, formation energy from raw total energies 0.06 eV per atom, density of states at the Fermi level 0.6658 states/eV per atom.